(1)
Here is a geometry-optimized BeNbFeSb structure from OQMD via LeMat-Bulk. Energies are from PBE-GGA.

abc: 6.1479 6.1479 6.1479
angles: 90.00 90.00 90.00
With the nearest neighbours (Å) after each atom.
Space group F-43m (No. 216)
Symmetry-distinct sites (fractional):
Be 0.0000 0.0000 0.0000  4 Nb 2.66, 4 Sb 2.66
Nb 0.2500 0.2500 0.7500  4 Fe 2.66, 4 Be 2.66
Fe 0.0000 0.0000 0.5000  4 Nb 2.66, 4 Sb 2.66
Sb 0.2500 0.2500 0.2500  4 Fe 2.66, 4 Be 2.66

Excess energy over the best structure of this formula in the dataset   0 meV per atom
Final energy   -6.29 eV/atom
Spin magnetization   1.70 μB per formula unit

***

(2)
Here is a geometry-optimized ZrTc structure from OQMD via LeMat-Bulk. Energies are from PBE-GGA.

abc: 6.5995 13.7523 4.7713
angles: 90.00 90.00 90.00
With the nearest neighbours (Å) after each atom.
Space group Pbcm (No. 57)
Symmetry-distinct sites (fractional):
Zr 0.1125 0.1614 0.2500  5 Tc 2.71-2.93, 2 Zr 2.96
Zr 0.3595 0.6631 0.2500  5 Tc 2.75-2.90, 2 Zr 2.96
Zr 0.3761 0.1491 0.7500  2 Tc 2.63-2.65
Tc 0.1209 0.0007 0.7500  3 Zr 2.65-2.75, 5 Tc 2.71-2.90
Tc 0.1239 0.6585 0.7500  2 Tc 2.70-2.71, 6 Zr 2.85-2.93
Tc 0.3711 0.5016 0.7500  3 Zr 2.63-2.88, 5 Tc 2.70-2.93

ΔH_f (0 K)   -0.20 eV/f.u.
Final energy   -9.56 eV/atom
Spin magnetization   0.00 μB per formula unit

***

(3)
Here is a geometry-optimized Na2LiTmH6 structure from OQMD via LeMat-Bulk. Energies are from PBE-GGA.

abc: 7.9221 7.9221 7.9221
angles: 90.00 90.00 90.00
With the nearest neighbours (Å) after each atom.
Space group Fm-3m (No. 225)
Symmetry-distinct sites (fractional):
Na 0.2500 0.2500 0.2500  12 H 2.80
Li 0.0000 0.0000 0.0000  6 H 1.90
Tm 0.0000 0.0000 0.5000  6 H 2.06
H 0.0000 0.0000 0.2394  1 Li 1.90, 1 Tm 2.06

Final energy   -3.10 eV/atom
Spin magnetization   0.00 μB per formula unit

***

(4)
Here is a geometry-optimized ErTmGeC structure from OQMD via LeMat-Bulk. Energies are from PBE-GGA.

abc: 3.5433 3.5433 14.7945
angles: 90.00 90.00 120.00
With the nearest neighbours (Å) after each atom.
Space group P-6m2 (No. 187)
Symmetry-distinct sites (fractional):
Er 0.0000 0.0000 0.1601  3 C 2.45
Tm 0.6667 0.3333 0.3403  3 C 2.44
Ge 0.0000 0.0000 0.5000  6 Tm 3.13
Ge 0.6667 0.3333 0.0000  6 Er 3.13
C 0.3333 0.6667 0.2507  3 Tm 2.44, 3 Er 2.45

Final energy   -6.24 eV/atom
Spin magnetization   0.01 μB per formula unit

***

(5)
Here is a geometry-optimized SmTlB structure from OQMD via LeMat-Bulk. Energies are from PBE-GGA.

abc: 6.7410 6.7410 6.7410
angles: 90.00 90.00 90.00
With the nearest neighbours (Å) after each atom.
Space group F-43m (No. 216)
Symmetry-distinct sites (fractional):
Sm 0.0000 0.0000 0.0000  4 Tl 2.92, 4 B 2.92
Tl 0.2500 0.2500 0.2500  4 Sm 2.92
B 0.2500 0.2500 0.7500  4 Sm 2.92

Excess energy over the best structure of this formula in the dataset   659 meV per atom
Final energy   -3.70 eV/atom
Spin magnetization   0.00 μB per formula unit

***

(6)
Here is a geometry-optimized AcHfZr structure from OQMD via LeMat-Bulk. Energies are from PBE-GGA.

abc: 7.3211 7.3211 7.3211
angles: 90.00 90.00 90.00
With the nearest neighbours (Å) after each atom.
Space group F-43m (No. 216)
Symmetry-distinct sites (fractional):
Ac 0.0000 0.0000 0.0000  4 Hf 3.17, 4 Zr 3.17
Hf 0.2500 0.2500 0.7500  4 Ac 3.17
Zr 0.2500 0.2500 0.2500  4 Ac 3.17

ΔH_f (0 K)   4.09 eV/f.u.
Excess energy over the best structure of this formula in the dataset   452 meV per atom
Final energy   -6.17 eV/atom
Spin magnetization   0.48 μB per formula unit

***

(7)
Here is a geometry-optimized Li2ZrCu2Se4 structure from OQMD via LeMat-Bulk. Energies are from PBE-GGA.

abc: 14.1911 3.8041 7.2255
angles: 90.00 119.01 90.00
With the nearest neighbours (Å) after each atom.
Space group C2/m (No. 12)
Symmetry-distinct sites (fractional):
Li 0.1484 0.0000 0.0329  5 Se 2.62-2.83
Zr 0.0000 0.0000 0.5000  6 Se 2.72-2.76
Cu 0.1795 0.5000 0.4828  4 Se 2.40-2.54, 2 Cu 2.68
Se 0.0082 0.5000 0.7756  1 Cu 2.40
Se 0.2218 0.0000 0.7316  3 Cu 2.48-2.54, 2 Li 2.62, 1 Zr 2.76

Final energy   -4.66 eV/atom
Spin magnetization   0.00 μB per formula unit

***

(8)
Here is a geometry-optimized GePdSO structure from OQMD via LeMat-Bulk. Energies are from PBE-GGA.

abc: 6.0391 6.4792 7.2767
angles: 90.00 90.00 90.00
With the nearest neighbours (Å) after each atom.
Space group P2_12_12_1 (No. 19)
Symmetry-distinct sites (fractional):
Ge 0.1154 0.1600 0.3440  1 O 1.82
Pd 0.0182 0.7158 0.4719  2 O 2.10-2.12
S 0.1834 0.5539 0.9561  2 Ge 2.36-2.42, 2 Pd 2.51-2.56
O 0.2353 0.0815 0.8704  1 Ge 1.82

Excess energy over the best structure of this formula in the dataset   192 meV per atom
Final energy   -5.12 eV/atom

***

Calculated calculated density, 7990, 8707, 3045, 8689, 7926, 8408, 5335, 5298 kg/m3 (same order as the records).